1.
## ZrTa2Co (GGA-PBE)

Data for ZrTa2Co after structural relaxation.

Structure (POSCAR):
```
ZrTa2Co
1.0
3.860 0.000 0.000
0.000 3.860 0.000
0.000 0.000 4.698
Zr Ta Co
1 2 1
Direct
0.000 0.000 0.000
0.000 0.500 0.500
0.500 0.000 0.500
0.500 0.500 0.000
```

Computed properties:
For the volume, the calculation gives 17.5 A^3/atom. The value obtained for the total moment is 0.00 μB/cell. For the total energy, the calculation gives -9.70 eV per atom. Its formation enthalpy at 0 K is 0.14 eV per atom. The energy relative to the lowest polymorph listed for this composition is 0.2069 eV per atom.

***

2.
## ZrTa2Co (GGA-PBE)

Data for ZrTa2Co after structural relaxation.

Structure (POSCAR):
```
ZrTa2Co
1.0
3.079 0.000 0.000
0.000 3.079 0.000
0.000 0.000 7.343
Zr Ta Co
1 2 1
Direct
0.000 0.000 0.000
0.500 0.500 0.294
0.500 0.500 0.706
0.000 0.000 0.500
```

Computed properties:
For the volume, the calculation gives 17.4 A^3/atom. The value obtained for the total moment is 0.00 μB/cell. For the total energy, the calculation gives -9.83 eV per atom. Its formation enthalpy at 0 K is 0.01 eV per atom. The energy relative to the lowest polymorph listed for this composition is 0.0693 eV per atom.

***

3.
## ZrTaCo2 (GGA-PBE)

Data for ZrTaCo2 after structural relaxation.

Structure (POSCAR):
```
ZrTaCo2
1.0
4.597 -1.475 0.000
4.597 1.475 0.000
-0.777 0.000 4.523
Zr Ta Co
1 1 2
Direct
0.000 0.000 0.000
0.227 0.227 0.628
0.489 0.489 0.485
0.754 0.754 0.179
```

Computed properties:
For the volume, the calculation gives 15.3 A^3/atom. The value obtained for the total moment is 0.02 μB/cell. For the total energy, the calculation gives -8.69 eV per atom. Its formation enthalpy at 0 K is -0.04 eV per atom.

***

4.
## ZrTaCo2 (GGA-PBE)

Data for ZrTaCo2 after structural relaxation.

Structure (POSCAR):
```
ZrTaCo2
1.0
-1.854 1.854 4.413
1.854 -1.854 4.413
1.854 1.854 -4.413
Zr Ta Co
1 1 2
Direct
0.000 0.000 0.000
0.750 0.250 0.500
0.250 0.750 0.500
0.500 0.500 0.000
```

Computed properties:
For the volume, the calculation gives 15.2 A^3/atom. The value obtained for the total moment is 0.00 μB/cell. For the total energy, the calculation gives -8.68 eV per atom. Its formation enthalpy at 0 K is -0.03 eV per atom.

***

5.
## ZrTaCo2 (GGA-PBE)

Data for ZrTaCo2 after structural relaxation.

Structure (POSCAR):
```
ZrTaCo2
1.0
3.133 0.000 0.000
0.000 4.008 0.000
-1.552 0.000 4.866
Zr Ta Co
1 1 2
Direct
0.000 0.000 0.000
0.279 0.500 0.561
0.557 0.500 0.115
0.733 0.000 0.468
```

Computed properties:
For the volume, the calculation gives 15.3 A^3/atom. The value obtained for the total moment is 0.00 μB/cell. For the total energy, the calculation gives -8.92 eV per atom. Its formation enthalpy at 0 K is -0.27 eV per atom.

***

6.
## ZrTa2Co2 (GGA-PBE)

Data for ZrTa2Co2 after structural relaxation.

Structure (POSCAR):
```
ZrTa2Co2
1.0
7.484 0.000 0.000
0.000 7.484 0.000
0.000 0.000 2.841
Zr Ta Co
2 4 4
Direct
0.000 0.000 0.000
0.500 0.500 0.000
0.153 0.347 0.000
0.347 0.847 0.000
0.653 0.153 0.000
0.847 0.653 0.000
0.140 0.640 0.500
0.360 0.140 0.500
0.640 0.860 0.500
0.860 0.360 0.500
```

Computed properties:
For the volume, the calculation gives 15.9 A^3/atom. The value obtained for the total moment is 0.01 μB/cell. For the total energy, the calculation gives -9.29 eV per atom. Its formation enthalpy at 0 K is 0.00 eV per atom. The energy relative to the lowest polymorph listed for this composition is 0.1165 eV per atom.

***

7.
## ZrTa2Co (GGA-PBE)

Data for ZrTa2Co after structural relaxation.

Structure (POSCAR):
```
ZrTa2Co
1.0
3.205 0.000 0.000
0.000 3.205 0.000
0.000 0.000 6.738
Zr Ta Co
1 2 1
Direct
0.000 0.000 0.000
0.000 0.000 0.464
0.500 0.500 0.719
0.500 0.500 0.252
```

Computed properties:
For the volume, the calculation gives 17.3 A^3/atom. The value obtained for the total moment is 0.00 μB/cell. For the total energy, the calculation gives -9.90 eV per atom. Its formation enthalpy at 0 K is -0.06 eV per atom. The energy relative to the lowest polymorph listed for this composition is 0.0000 eV per atom.

***

8.
## ZrTa2Co (GGA-PBE)

Data for ZrTa2Co after structural relaxation.

Structure (POSCAR):
```
ZrTa2Co
1.0
1.528 0.882 8.803
-1.528 0.882 8.803
0.000 -1.765 8.803
Zr Ta Co
1 2 1
Direct
0.000 0.000 0.000
0.238 0.238 0.238
0.762 0.762 0.762
0.500 0.500 0.500
```

Computed properties:
For the volume, the calculation gives 17.8 A^3/atom. The value obtained for the total moment is 0.00 μB/cell. For the total energy, the calculation gives -9.63 eV per atom. Its formation enthalpy at 0 K is 0.21 eV per atom. The energy relative to the lowest polymorph listed for this composition is 0.2720 eV per atom.

***

> Which formula does entry 6 have?

ZrTa2Co2

***

> Which of these has the lowest formation enthalpy at 0 K?

number 5